1.
The following is a PBEsol calculation of a relaxed structure of Zn2NiAu, from the Alexandria database.

- DFT total energy: -3.47 eV per atom
- Magnetization: 0.0 μB/f.u.
- Volume: 54 Å³ per cell

```
4
Lattice="4.230 -1.421 0.000 4.230 1.421 0.000 -1.034 0.000 4.528" Properties=species:S:1:pos:R:3 pbc="T T T"
Zn 1.806 0.000 1.035
Zn 5.620 0.000 3.493
Ni 4.230 0.000 0.000
Au -0.517 0.000 2.264
```

---

2.
The following is a PBEsol calculation of a relaxed structure of ZnNi2Au, from the Alexandria database.

- DFT total energy: -4.54 eV per atom
- Magnetization: 0.0 μB/f.u.
- Volume: 51 Å³ per cell

```
4
Lattice="2.684 0.000 0.000 0.000 3.476 0.000 0.000 0.000 5.428" Properties=species:S:1:pos:R:3 pbc="T T T"
Zn 0.000 0.000 0.000
Ni 0.000 0.000 3.010
Ni 1.342 1.738 4.199
Au 1.342 1.738 1.550
```

---

3.
The following is a PBEsol calculation of a relaxed structure of ZnNi2Au, from the Alexandria database.

- DFT total energy: -4.52 eV per atom
- Magnetization: 0.2 μB/f.u.
- Volume: 51 Å³ per cell

```
4
Lattice="2.765 0.000 0.000 0.000 2.765 0.000 0.000 0.000 6.632" Properties=species:S:1:pos:R:3 pbc="T T T"
Zn 0.000 0.000 0.000
Ni 0.000 0.000 3.738
Ni 1.382 1.382 5.136
Au 1.382 1.382 1.937
```